No. 1
This record from the Alexandria database describes NdYOsO6 after structural relaxation. The functional is PBE.

Geometry as POSCAR:
```
NdYOsO6
1.0
5.541 0.000 0.000
-2.770 4.798 0.000
0.000 0.000 9.913
Nd Y Os O
2 2 2 12
direct
0.000 0.000 0.000
0.000 0.000 0.500
0.333 0.667 0.250
0.667 0.333 0.750
0.333 0.667 0.750
0.667 0.333 0.250
0.044 0.376 0.639
0.044 0.667 0.861
0.333 0.376 0.861
0.333 0.956 0.639
0.376 0.044 0.139
0.376 0.333 0.361
0.624 0.667 0.639
0.624 0.956 0.861
0.667 0.044 0.361
0.667 0.624 0.139
0.956 0.333 0.139
0.956 0.624 0.361
```

Properties
The final energy comes out at -8.130 eV per atom. The value obtained for the density of states at the Fermi level is 0.52 states/eV per atom. The uncorrected formation energy is -2.329 eV/atom. As for the crystal system: trigonal. The space group is P-31c (163).

=====

No. 2
This record from the Alexandria database describes Ba2LaHg after structural relaxation. The functional is PBE.

Geometry as POSCAR:
```
Ba2LaHg
1.0
-2.131 2.960 6.521
2.131 -2.960 6.521
2.131 2.960 -6.521
Ba La Hg
2 1 1
direct
0.208 0.208 0.000
0.792 0.792 0.000
0.500 0.000 0.500
0.000 0.500 0.500
```

Properties
The final energy comes out at -2.348 eV per atom. The value obtained for the density of states at the Fermi level is 1.44 states/eV per atom. The formation energy from the elements comes out at -0.08 eV per atom. As for the crystal system: orthorhombic. The space group is Immm (71).

=====

No. 3
This record from the Alexandria database describes VPd4Au2 after structural relaxation. The functional is PBE.

Geometry as POSCAR:
```
VPd4Au2
1.0
5.113 0.000 0.000
0.000 8.619 0.000
-0.232 0.000 5.212
V Pd Au
2 8 4
direct
0.000 0.000 0.000
0.000 0.500 0.500
0.109 0.245 0.241
0.109 0.255 0.741
0.421 0.655 0.529
0.421 0.845 0.029
0.579 0.155 0.971
0.579 0.345 0.471
0.891 0.745 0.259
0.891 0.755 0.759
0.255 0.539 0.032
0.255 0.961 0.532
0.745 0.039 0.468
0.745 0.461 0.968
```

Properties
The final energy comes out at -5.210 eV per atom. The value obtained for the density of states at the Fermi level is 0.80 states/eV per atom. The formation energy from the elements comes out at 0.00 eV per atom. As for the crystal system: monoclinic. The space group is P2_1/c (14). The value obtained for the energy above the lowest structure with this stoichiometry is 0.0 meV per atom.

=====

No. 4
This record from the Alexandria database describes SmCdGe2Pd5 after structural relaxation. The functional is PBE.

Geometry as POSCAR:
```
SmCdGe2Pd5
1.0
4.290 0.000 0.000
0.000 4.290 0.000
0.000 0.000 8.925
Sm Cd Ge Pd
1 1 2 5
direct
0.000 0.000 0.000
0.000 0.000 0.500
0.500 0.500 0.365
0.500 0.500 0.635
0.000 0.500 0.232
0.000 0.500 0.768
0.500 0.000 0.232
0.500 0.000 0.768
0.500 0.500 0.000
```

Properties
The final energy comes out at -5.070 eV per atom. The value obtained for the density of states at the Fermi level is 0.57 states/eV per atom. The formation energy from the elements comes out at -0.53 eV per atom. As for the crystal system: tetragonal. The space group is P4/mmm (123).

=====

No. 5
This record from the Alexandria database describes LaSb2Au after structural relaxation. The functional is PBE.

Geometry as POSCAR:
```
LaSb2Au
1.0
4.790 0.000 0.000
0.000 4.790 0.000
0.000 0.000 4.514
La Sb Au
1 2 1
direct
0.000 0.000 0.000
0.000 0.500 0.500
0.500 0.000 0.500
0.500 0.500 0.000
```

Properties
The final energy comes out at -4.770 eV per atom. The value obtained for the density of states at the Fermi level is 0.40 states/eV per atom. The uncorrected formation energy is -0.657 eV/atom. As for the crystal system: tetragonal. The space group is P4/mmm (123).

=====

No. 6
This record from the Alexandria database describes Rb2HgHPd after structural relaxation. The functional is PBE.

Geometry as POSCAR:
```
Rb2HgHPd
1.0
6.574 0.000 0.000
0.000 6.574 0.000
0.000 0.000 3.514
Rb Hg H Pd
2 1 1 1
direct
0.000 0.500 0.000
0.500 0.000 0.000
0.000 0.000 0.500
0.500 0.500 0.500
0.500 0.500 0.000
```

Properties
The final energy comes out at -2.227 eV per atom. The value obtained for the density of states at the Fermi level is 0.39 states/eV per atom. As for the crystal system: tetragonal. The space group is P4/mmm (123). The value obtained for the energy above the lowest structure with this stoichiometry is 38.2 meV per atom.